{"formula": "Cs2YAg", "functional": "PBE", "state": "optimized geometry", "cell": [[6.2240, -0.6014, 2.1332], [1.9205, -5.5262, 3.0697], [4.1337, -4.1843, -3.0091]], "species": ["Cs", "Cs", "Y", "Ag"], "frac_coords": [[0.7500, 0.7500, 0.7500], [0.2500, 0.2500, 0.2500], [0.0000, 0.0000, 0.0000], [0.5000, 0.5000, 0.5000]], "e_form_kj_per_mol_atoms": 75, "magmom_total_mub_per_cell": 1.96, "crystal_system": "cubic", "n_ef_per_ev_cell": 6.26, "polymorph_energy_ev_per_atom": 0.248, "space_group": "Fm-3m, No. 225", "dft_energy_ev_per_atom": -1.9831, "rho_g_cm3": 3.77}